{"formula": "AgPtPb2", "functional": "PBE", "state": "relaxed", "delta_e_f_mev_per_atom": 95, "cell": [[4.279, 0.000, 0.000], [0.000, 4.279, 0.000], [0.000, 0.000, 9.902]], "species": ["Ag", "Ag", "Pt", "Pt", "Pb", "Pb", "Pb", "Pb"], "frac_coords": [[0.000, 0.000, 0.000], [0.500, 0.500, 0.500], [0.000, 0.500, 0.250], [0.500, 0.000, 0.750], [0.000, 0.000, 0.500], [0.000, 0.500, 0.750], [0.500, 0.000, 0.250], [0.500, 0.500, 0.000]]}